No. 1
Compound: AgTeAs2
Source: Alexandria via LeMat-Bulk
Functional: PBE
Structure: relaxed Values from VASP.

```
&SYSTEM
  ibrav = 0, nat = 4, ntyp = 3
/
ATOMIC_SPECIES
As 74.92 As.upf
Ag 107.87 Ag.upf
Te 127.60 Te.upf
CELL_PARAMETERS angstrom
-3.3382 1.8161 -1.0147
-2.8925 -2.0450 -1.7096
-4.7751 -1.4884 5.2073
ATOMIC_POSITIONS angstrom
As -2.6632 -0.3863 0.4383
As -6.2708 -0.2452 -2.6590
Ag -8.2955 -1.3116 1.9670
Te -5.5100 -0.8617 1.2539
```

Symmetry ... No. 8
DOS(E_F) ... 2.5 states/eV/cell
Formation energy from raw total energies ... 0.1044 eV per atom
M_tot ... 0.0 μB per formula unit

No. 2
Compound: Ag2Te3As
Source: Alexandria via LeMat-Bulk
Functional: PBE
Structure: relaxed Values from VASP.

```
&SYSTEM
  ibrav = 0, nat = 24, ntyp = 3
/
ATOMIC_SPECIES
Ag 107.87 Ag.upf
Te 127.60 Te.upf
As 74.92 As.upf
CELL_PARAMETERS angstrom
7.8133 -0.1465 -1.2131
-3.1216 7.1641 -1.2131
0.3040 0.4547 13.7275
ATOMIC_POSITIONS angstrom
Ag 0.0246 1.8696 4.2285
Ag -1.0009 6.0752 5.6506
Ag 7.1692 0.2841 -1.2131
Ag 0.5611 4.7019 -1.2131
Ag 4.2545 2.5616 5.6506
Ag 5.3766 3.9324 9.9359
Ag 3.2774 6.7349 7.0727
Ag 3.4167 1.0009 1.3654
Te 0.8977 0.0661 2.2362
Te 4.1365 5.2278 4.8707
Te 0.7893 5.5696 7.7288
Te 5.1978 0.9518 3.5436
Te 2.7664 3.3911 11.1161
Te 6.1026 2.3052 7.7577
Te 1.7456 1.6517 6.4305
Te 1.5202 7.4965 11.4796
Te 2.9192 3.6198 0.1851
Te -1.3507 3.2023 -0.1784
Te 5.2776 6.6174 9.0650
Te 0.1505 4.6142 3.5724
As 2.9308 0.6172 10.7029
As 5.5454 4.5280 0.5983
As 2.5233 5.4983 2.7524
As 0.8792 3.0391 8.5488
```

Symmetry ... No. 5
DOS(E_F) ... 14.1 states/eV/cell
Formation energy from raw total energies ... 0.0193 eV per atom
Energy above the most stable polymorph in this dataset ... 0.022 eV/atom
M_tot ... 0.0 μB per formula unit

Q: Among the records above, which one has the highest formation energy from raw total energies?
A: AgTeAs2